A plane-wave DFT calculation with PBE was carried out for a relaxed structure of Tm4Sc9In11.

The value obtained for the total magnetization is 1.8 μB per formula unit. As for the formation energy: -356 meV/atom. Its final energy is -4.731 eV/atom. The space group is Cmmm, No. 65.

Cell lengths 3.278, 13.686, 13.686 Å; angles 111.76, 90.00, 90.00 degrees
Element x y z (fractional)
Tm 0.500 0.594 0.756
Tm 0.500 0.406 0.244
Tm 0.500 0.756 0.594
Tm 0.500 0.244 0.406
Sc 0.500 0.612 0.169
Sc 0.500 0.388 0.831
Sc 0.500 0.169 0.612
Sc 0.500 0.831 0.388
Sc 0.500 0.799 0.994
Sc 0.500 0.201 0.006
Sc 0.500 0.994 0.799
Sc 0.500 0.006 0.201
Sc 0.500 0.500 0.500
In 0.000 0.593 0.962
In 0.000 0.407 0.038
In 0.000 0.962 0.593
In 0.000 0.038 0.407
In 0.000 0.621 0.379
In 0.000 0.379 0.621
In 0.000 0.810 0.190
In 0.000 0.190 0.810
In 0.000 0.000 0.000
In 0.000 0.802 0.802
In 0.000 0.198 0.198

=====

A plane-wave DFT calculation with PBE was carried out for a relaxed structure of Tm2Sc2In7.

The value obtained for the total magnetization is 0.0 μB per formula unit. As for the formation energy: 58 meV/atom. Its final energy is -3.649 eV/atom. The space group is Cmmm, No. 65.

Cell lengths 6.805, 6.985, 6.805 Å; angles 90.00, 101.94, 90.00 degrees
Element x y z (fractional)
Tm 0.815 0.500 0.815
Tm 0.185 0.500 0.185
Sc 0.709 0.000 0.291
Sc 0.291 0.000 0.709
In 0.000 0.284 0.500
In 0.500 0.716 0.000
In 0.000 0.716 0.500
In 0.500 0.284 0.000
In 0.000 0.000 0.000
In 0.500 0.716 0.500
In 0.500 0.284 0.500

=====

A plane-wave DFT calculation with PBE was carried out for a relaxed structure of Tm5Sc2In4.

The value obtained for the total magnetization is 0.0 μB per formula unit. As for the formation energy: 40 meV/atom. Its final energy is -4.140 eV/atom. The space group is Immm, No. 71.

Cell lengths 5.357, 9.515, 8.268 Å; angles 125.13, 108.90, 90.00 degrees
Element x y z (fractional)
Tm 0.254 0.584 0.508
Tm 0.746 0.416 0.492
Tm 0.254 0.924 0.508
Tm 0.500 0.000 0.000
Tm 0.746 0.076 0.492
Sc 0.845 0.845 0.690
Sc 0.155 0.155 0.310
In 0.617 0.617 0.233
In 0.000 0.240 0.000
In 0.383 0.383 0.767
In 0.000 0.760 0.000

=====

A plane-wave DFT calculation with PBE was carried out for a relaxed structure of TmScIn2.

The value obtained for the total magnetization is 0.0 μB per formula unit. As for the formation energy: -413 meV/atom. Its final energy is -4.483 eV/atom. The space group is P4/mmm, No. 123.

Cell lengths 3.625, 3.625, 7.333 Å; angles 90.00, 90.00, 90.00 degrees
Element x y z (fractional)
Sc 0.500 0.500 0.000
Tm 0.500 0.500 0.500
In 0.000 0.000 0.763
In 0.000 0.000 0.237

=====

A plane-wave DFT calculation with PBE was carried out for a relaxed structure of Tm5Sc12In2.

The value obtained for the total magnetization is 0.0 μB per formula unit. As for the formation energy: -5 meV/atom. Its final energy is -5.468 eV/atom. The space group is C2/m, No. 12.

Cell lengths 8.555, 8.551, 7.808 Å; angles 90.61, 90.00, 120.01 degrees
Element x y z (fractional)
Tm 0.238 0.477 0.578
Tm 0.305 0.611 0.000
Tm 0.000 0.000 0.500
Tm 0.695 0.389 0.000
Tm 0.762 0.523 0.422
Sc 0.911 0.823 0.106
Sc 0.033 0.697 0.759
Sc 0.664 0.697 0.759
Sc 0.179 0.750 0.339
Sc 0.571 0.750 0.339
Sc 0.449 0.899 0.670
Sc 0.551 0.101 0.330
Sc 0.821 0.250 0.661
Sc 0.429 0.250 0.661
Sc 0.967 0.303 0.241
Sc 0.336 0.303 0.241
Sc 0.089 0.177 0.894
In 0.686 0.000 0.000
In 0.314 0.000 0.000

=====

A plane-wave DFT calculation with PBE was carried out for a relaxed structure of Tm6ScIn.

The value obtained for the total magnetization is 0.0 μB per formula unit. As for the formation energy: -117 meV/atom. Its final energy is -4.605 eV/atom. The space group is P4/mmm, No. 123.

Cell lengths 4.805, 4.805, 9.737 Å; angles 90.00, 90.00, 90.00 degrees
Element x y z (fractional)
Tm 0.500 0.500 0.000
Tm 0.500 0.500 0.500
Tm 0.500 0.000 0.250
Tm 0.500 0.000 0.750
Tm 0.000 0.500 0.250
Tm 0.000 0.500 0.750
Sc 0.000 0.000 0.000
In 0.000 0.000 0.500

=====

A plane-wave DFT calculation with PBE was carried out for a relaxed structure of TmScIn.

The value obtained for the total magnetization is 0.9 μB per formula unit. As for the formation energy: -48 meV/atom. Its final energy is -4.562 eV/atom. The space group is P4/nmm, No. 129.

Cell lengths 4.614, 4.614, 7.569 Å; angles 90.00, 90.00, 90.00 degrees
Element x y z (fractional)
Tm 0.000 0.500 0.689
Tm 0.500 0.000 0.311
In 0.500 0.500 0.000
In 0.000 0.000 0.000
Sc 0.500 0.000 0.742
Sc 0.000 0.500 0.258

=====

A plane-wave DFT calculation with PBE was carried out for a relaxed structure of TmScIn2.

The value obtained for the total magnetization is 0.0 μB per formula unit. As for the formation energy: -294 meV/atom. Its final energy is -4.364 eV/atom. The space group is R-3m, No. 166.

Cell lengths 3.544, 3.544, 9.743 Å; angles 79.52, 79.52, 60.00 degrees
Element x y z (fractional)
Sc 0.500 0.500 0.500
Tm 0.000 0.000 0.000
In 0.753 0.753 0.741
In 0.247 0.247 0.259